This record from the Alexandria database describes BaAlSe2 at its PBEsol-relaxed geometry. The functional is SCAN.

Results
Uncorrected formation energy = -383 meV/atom

Cell: 5.2621 5.2621 5.2621 Å, 60.00 60.00 60.00°
Fractional coordinates of all 4 atoms:
1 Se 0.0000 0.0000 0.0000
2 Se 0.7500 0.7500 0.7500
3 Al 0.5000 0.5000 0.5000
4 Ba 0.2500 0.2500 0.2500